# 1
Computed, not measured: a geometry-optimized Ba2Ta2S7 structure at the GGA-PBE level of DFT.

* mass density: 3.7 g cm⁻³
* crystal system: monoclinic
* raw formation energy: -1.31 eV/atom
* SG: C2/m

a b c (Å): 6.405 7.910 7.910
angles (deg): 102.00 97.06 97.06
Element x y z (fractional)
S1 0.736 0.402 0.098
S2 0.000 0.000 0.000
S3 0.769 0.626 0.626
S4 0.264 0.598 0.902
S5 0.231 0.374 0.374
S6 0.736 0.098 0.402
Ba1 0.500 0.705 0.295
S7 0.264 0.902 0.598
Ta1 0.078 0.780 0.780
Ba2 0.500 0.295 0.705
Ta2 0.922 0.220 0.220

=====

# 2
Computed, not measured: a geometry-optimized BaTa4S8 structure at the GGA-PBE level of DFT.

* E above lowest polymorph: 0.000 eV per atom
* mass density: 7.2 g cm⁻³
* crystal system: monoclinic
* raw formation energy: -1.10 eV/atom
* SG: C2/m

a b c (Å): 3.440 8.570 9.160
angles (deg): 83.01 79.18 78.42
Element x y z (fractional)
Ta1 0.670 0.168 0.492
S1 0.860 0.994 0.286
S2 0.824 0.305 0.046
Ta2 0.195 0.502 0.108
S3 0.555 0.670 0.220
Ba1 0.516 0.002 0.967
Ta3 0.836 0.501 0.826
S4 0.207 0.698 0.888
S5 0.171 0.009 0.648
Ta4 0.362 0.835 0.441
S6 0.147 0.338 0.368
S7 0.477 0.333 0.714
S8 0.885 0.666 0.565

=====

# 3
Computed, not measured: a geometry-optimized Ba2TaS6 structure at the GGA-PBE level of DFT.

* mass density: 5.0 g cm⁻³
* crystal system: orthorhombic
* raw formation energy: -0.97 eV/atom
* SG: Amm2

a b c (Å): 3.981 7.643 8.047
angles (deg): 118.35 90.00 90.00
Element x y z (fractional)
S1 0.500 0.322 0.352
Ta1 0.500 0.020 0.000
S2 0.000 0.239 0.000
S3 0.500 0.971 0.648
Ba1 0.000 0.314 0.658
S4 0.000 0.994 0.201
Ba2 0.000 0.656 0.342
S5 0.000 0.793 0.799
S6 0.500 0.691 0.000

=====

# 4
Computed, not measured: a geometry-optimized BaTa2S4 structure at the GGA-PBE level of DFT.

* mass density: 7.1 g cm⁻³
* crystal system: orthorhombic
* raw formation energy: -1.12 eV/atom
* SG: Cmcm

a b c (Å): 4.082 6.188 12.334
angles (deg): 90.00 90.00 109.26
Element x y z (fractional)
S1 0.500 0.000 0.500
S2 0.073 0.146 0.250
Ta1 0.108 0.217 0.054
Ta2 0.892 0.783 0.554
S3 0.750 0.501 0.401
S4 0.250 0.499 0.599
S5 0.500 0.000 0.000
Ba1 0.374 0.748 0.250
S6 0.250 0.499 0.901
Ta3 0.892 0.783 0.946
S7 0.750 0.501 0.099
Ta4 0.108 0.217 0.446
S8 0.927 0.854 0.750
Ba2 0.626 0.252 0.750

=====

# 5
Computed, not measured: a geometry-optimized BaTa4S8 structure at the GGA-PBE level of DFT.

* E above lowest polymorph: 0.109 eV per atom
* mass density: 6.4 g cm⁻³
* crystal system: cubic
* raw formation energy: -0.99 eV/atom
* SG: F-43m

a b c (Å): 7.435 7.435 7.435
angles (deg): 60.00 60.00 60.00
Element x y z (fractional)
S1 0.599 0.599 0.204
S2 0.599 0.599 0.599
S3 0.204 0.599 0.599
Ta1 0.931 0.356 0.356
Ta2 0.356 0.931 0.356
Ta3 0.356 0.356 0.356
Ta4 0.356 0.356 0.931
S4 0.599 0.204 0.599
S5 0.124 0.124 0.124
Ba1 0.750 0.750 0.750
S6 0.124 0.628 0.124
S7 0.628 0.124 0.124
S8 0.124 0.124 0.628

=====

# 6
Computed, not measured: a geometry-optimized BaTaS4 structure at the GGA-PBE level of DFT.

* E above lowest polymorph: 0.037 eV per atom
* mass density: 4.9 g cm⁻³
* crystal system: monoclinic
* raw formation energy: -1.06 eV/atom
* SG: C2/m

a b c (Å): 6.657 6.696 7.594
angles (deg): 116.16 92.43 90.00
Element x y z (fractional)
S1 0.436 0.187 0.825
Ta1 0.735 0.477 0.954
Ba1 0.789 0.808 0.616
S2 0.000 0.754 0.000
S3 0.000 0.246 0.000
S4 0.790 0.298 0.596
S5 0.564 0.813 0.175
Ba2 0.211 0.192 0.384
S6 0.210 0.702 0.404
S7 0.564 0.362 0.175
Ta2 0.265 0.523 0.046
S8 0.436 0.638 0.825

=====

# 7
Computed, not measured: a geometry-optimized Ba2TbTaS6 structure at the GGA-PBE level of DFT.

* mass density: 4.9 g cm⁻³
* crystal system: trigonal
* raw formation energy: -1.66 eV/atom
* SG: R-3m

a b c (Å): 7.042 7.042 13.298
angles (deg): 74.65 74.65 60.00
Element x y z (fractional)
S1 0.286 0.801 0.112
Tb1 0.586 0.586 0.242
S2 0.132 0.627 0.614
S3 0.199 0.714 0.888
S4 0.714 0.199 0.888
Ba1 0.698 0.698 0.907
S5 0.627 0.627 0.614
S6 0.373 0.373 0.386
S7 0.868 0.373 0.386
S8 0.373 0.868 0.386
Ba2 0.863 0.863 0.410
S9 0.801 0.286 0.112
S10 0.199 0.199 0.888
Tb2 0.414 0.414 0.758
S11 0.627 0.132 0.614
Ta1 0.000 0.000 0.000
S12 0.801 0.801 0.112
Ba3 0.137 0.137 0.590
Ta2 0.500 0.500 0.500
Ba4 0.302 0.302 0.093

=====

# 8
Computed, not measured: a geometry-optimized BaTaTeS2 structure at the GGA-PBE level of DFT.

* mass density: 4.9 g cm⁻³
* crystal system: tetragonal
* raw formation energy: 1.10 eV/atom
* SG: P4/mmm

a b c (Å): 5.229 6.364 5.229
angles (deg): 90.00 90.00 90.00
Site moments in Bohr magnetons follow the coordinates.
Element x y z (fractional)
Ba1 0.000 0.500 0.000  0.08
Te1 0.000 0.000 0.000  0.01
Ta1 0.500 0.500 0.500  2.14
S1 0.000 0.000 0.500  -0.06
S2 0.500 0.000 0.000  -0.03

=====

# 9
Computed, not measured: a geometry-optimized BaTaTeS6 structure at the GGA-PBE level of DFT.

* mass density: 4.2 g cm⁻³
* crystal system: trigonal
* raw formation energy: -0.76 eV/atom
* SG: P312

a b c (Å): 6.608 6.608 6.730
angles (deg): 90.00 90.00 60.00
Element x y z (fractional)
S1 0.607 0.986 0.279
S2 0.986 0.607 0.721
Te1 0.333 0.333 0.500
S3 0.406 0.986 0.721
S4 0.406 0.607 0.279
S5 0.986 0.406 0.279
Ba1 0.000 0.000 0.000
S6 0.607 0.406 0.721
Ta1 0.667 0.667 0.500

=====

# 10
Computed, not measured: a geometry-optimized BaTa2TiS8 structure at the GGA-PBE level of DFT.

* mass density: 4.5 g cm⁻³
* crystal system: trigonal
* raw formation energy: -1.06 eV/atom
* SG: R-3

a b c (Å): 6.277 6.277 9.469
angles (deg): 70.64 70.64 60.00
Element x y z (fractional)
S1 0.924 0.640 0.166
S2 0.360 0.729 0.834
S3 0.729 0.076 0.834
S4 0.173 0.173 0.482
S5 0.271 0.924 0.166
Ta1 0.742 0.742 0.773
Ta2 0.258 0.258 0.227
S6 0.076 0.360 0.834
Ti1 0.000 0.000 0.000
Ba1 0.500 0.500 0.500
S7 0.640 0.271 0.166
S8 0.827 0.827 0.518

=====

# 11
Computed, not measured: a geometry-optimized BaTaTiS6 structure at the GGA-PBE level of DFT.

* mass density: 3.9 g cm⁻³
* crystal system: trigonal
* raw formation energy: -1.15 eV/atom
* SG: P312

a b c (Å): 6.237 6.236 7.129
angles (deg): 90.00 89.99 60.00
Element x y z (fractional)
S1 0.384 0.998 0.705
S2 0.384 0.619 0.295
Ba1 0.000 0.000 0.000
S3 0.618 0.384 0.705
S4 0.619 0.997 0.295
S5 0.997 0.384 0.295
Ta1 0.333 0.333 0.500
S6 0.997 0.618 0.705
Ti1 0.667 0.667 0.500

=====

# 12
Computed, not measured: a geometry-optimized BaTaTlS4 structure at the GGA-PBE level of DFT.

* mass density: 4.8 g cm⁻³
* crystal system: monoclinic
* raw formation energy: -1.23 eV/atom
* SG: P2_1/m

a b c (Å): 7.458 6.976 8.939
angles (deg): 90.00 106.52 90.00
Element x y z (fractional)
S1 0.388 0.750 0.559
Ba1 0.761 0.750 0.439
Ba2 0.239 0.250 0.561
S2 0.612 0.250 0.441
Tl1 0.257 0.250 0.066
S3 0.983 0.507 0.743
S4 0.017 0.493 0.257
S5 0.596 0.250 0.857
S6 0.983 0.993 0.743
Tl2 0.743 0.750 0.934
Ta1 0.215 0.750 0.303
S7 0.404 0.750 0.143
S8 0.017 0.007 0.257
Ta2 0.785 0.250 0.697

=====

# 13
Computed, not measured: a geometry-optimized BaTaTl2S4 structure at the GGA-PBE level of DFT.

* mass density: 5.3 g cm⁻³
* crystal system: tetragonal
* raw formation energy: -0.91 eV/atom
* SG: I-4

a b c (Å): 7.025 7.025 7.025
angles (deg): 112.66 107.90 107.90
Element x y z (fractional)
S1 0.004 0.173 0.494
S2 0.996 0.490 0.169
S3 0.321 0.831 0.827
Ta1 0.000 0.500 0.500
Tl1 0.500 0.750 0.250
Tl2 0.000 0.000 0.000
Ba1 0.500 0.250 0.750
S4 0.679 0.506 0.510

=====

# 14
Computed, not measured: a geometry-optimized BaTa2VS8 structure at the GGA-PBE level of DFT.

* mass density: 4.6 g cm⁻³
* crystal system: trigonal
* raw formation energy: -0.91 eV/atom
* SG: R-3

a b c (Å): 6.246 6.246 9.348
angles (deg): 70.48 70.48 60.00
Site moments in Bohr magnetons follow the coordinates.
Element x y z (fractional)
V1 0.000 0.000 0.000  1.19
S1 0.268 0.923 0.164  -0.04
S2 0.355 0.732 0.836  -0.04
S3 0.923 0.645 0.164  -0.04
S4 0.645 0.268 0.164  -0.04
Ba1 0.500 0.500 0.500  0.00
S5 0.732 0.077 0.836  -0.04
S6 0.827 0.827 0.518  -0.02
S7 0.173 0.173 0.482  -0.02
Ta1 0.741 0.741 0.777  0.04
Ta2 0.259 0.259 0.223  0.04
S8 0.077 0.355 0.836  -0.04

=====

# 15
Computed, not measured: a geometry-optimized BaTaVS6 structure at the GGA-PBE level of DFT.

* mass density: 4.0 g cm⁻³
* crystal system: trigonal
* raw formation energy: -1.05 eV/atom
* SG: P3

a b c (Å): 6.368 6.371 6.663
angles (deg): 90.05 90.01 59.98
Element x y z (fractional)
S1 0.979 0.414 0.287
S2 0.002 0.593 0.712
V1 0.667 0.667 0.543
S3 0.405 0.002 0.711
S4 0.593 0.405 0.711
Ta1 0.333 0.333 0.459
Ba1 0.000 0.000 0.003
S5 0.414 0.607 0.287
S6 0.607 0.979 0.287

=====

# 16
Computed, not measured: a geometry-optimized Ba2YTaS6 structure at the GGA-PBE level of DFT.

* mass density: 4.5 g cm⁻³
* crystal system: trigonal
* raw formation energy: -1.67 eV/atom
* SG: R-3m

a b c (Å): 7.038 7.038 13.244
angles (deg): 74.59 74.59 60.00
Element x y z (fractional)
S1 0.199 0.714 0.887
S2 0.627 0.627 0.615
S3 0.627 0.131 0.615
S4 0.199 0.199 0.887
S5 0.869 0.373 0.385
S6 0.131 0.627 0.615
S7 0.801 0.801 0.113
Ba1 0.864 0.864 0.408
Ta1 0.500 0.500 0.500
S8 0.373 0.373 0.385
S9 0.801 0.286 0.113
Y1 0.586 0.586 0.241
S10 0.714 0.199 0.887
Ba2 0.302 0.302 0.094
S11 0.286 0.801 0.113
Ba3 0.136 0.136 0.592
S12 0.373 0.869 0.385
Ta2 0.000 0.000 0.000
Ba4 0.698 0.698 0.906
Y2 0.414 0.414 0.759

=====

# 17
Computed, not measured: a geometry-optimized BaZrTa2S8 structure at the GGA-PBE level of DFT.

* mass density: 4.5 g cm⁻³
* crystal system: trigonal
* raw formation energy: -1.15 eV/atom
* SG: R-3

a b c (Å): 6.362 6.362 9.652
angles (deg): 70.76 70.76 60.00
Element x y z (fractional)
Ta1 0.746 0.746 0.763
S1 0.374 0.721 0.828
Zr1 0.000 0.000 0.000
S2 0.077 0.374 0.828
S3 0.923 0.626 0.172
Ba1 0.500 0.500 0.500
S4 0.171 0.171 0.486
S5 0.721 0.077 0.828
Ta2 0.254 0.254 0.237
S6 0.626 0.279 0.172
S7 0.829 0.829 0.514
S8 0.279 0.923 0.172

=====

# 18
Computed, not measured: a geometry-optimized BaZrTaS6 structure at the GGA-PBE level of DFT.

* mass density: 4.0 g cm⁻³
* crystal system: trigonal
* raw formation energy: -1.22 eV/atom
* SG: P312

a b c (Å): 6.462 6.462 6.980
angles (deg): 90.01 89.99 59.97
Element x y z (fractional)
Ta1 0.333 0.333 0.500
S1 0.610 0.378 0.713
S2 0.012 0.610 0.713
S3 0.378 0.012 0.713
Ba1 0.000 0.000 0.000
Zr1 0.667 0.667 0.500
S4 0.610 0.012 0.287
S5 0.012 0.378 0.287
S6 0.378 0.610 0.287

=====

# 19
Computed, not measured: a geometry-optimized BaTb4S6 structure at the GGA-PBE level of DFT.

* mass density: 6.0 g cm⁻³
* crystal system: orthorhombic
* raw formation energy: -2.07 eV/atom
* SG: Cmcm

a b c (Å): 4.006 6.847 20.535
angles (deg): 90.00 90.00 107.01
Element x y z (fractional)
S1 0.232 0.463 0.915
S2 0.232 0.463 0.585
Ba1 0.658 0.316 0.250
S3 0.500 0.000 0.000
Ba2 0.342 0.684 0.750
Tb1 0.404 0.808 0.127
S4 0.500 0.000 0.500
S5 0.039 0.078 0.156
S6 0.039 0.078 0.344
Tb2 0.596 0.192 0.873
Tb3 0.596 0.192 0.627
Tb4 0.137 0.274 0.460
Tb5 0.137 0.274 0.040
S7 0.768 0.537 0.415
S8 0.662 0.325 0.750
S9 0.768 0.537 0.085
Tb6 0.404 0.808 0.373
Tb7 0.863 0.726 0.540
S10 0.961 0.922 0.844
S11 0.338 0.675 0.250
Tb8 0.863 0.726 0.960
S12 0.961 0.922 0.656

=====

# 20
Computed, not measured: a geometry-optimized BaTbTm4S8 structure at the GGA-PBE level of DFT.

* mass density: 5.3 g cm⁻³
* crystal system: trigonal
* raw formation energy: -1.95 eV/atom
* SG: R3m

a b c (Å): 8.143 8.143 8.193
angles (deg): 60.20 60.20 60.00
Element x y z (fractional)
Ba1 0.374 0.374 0.879
S1 0.757 0.757 0.728
S2 0.230 0.754 0.261
S3 0.754 0.230 0.261
Tm1 0.625 0.625 0.124
S4 0.231 0.231 0.308
S5 0.235 0.235 0.726
Tm2 0.495 0.002 0.502
S6 0.235 0.805 0.726
S7 0.805 0.235 0.726
Tm3 0.002 0.002 0.502
Tm4 0.002 0.495 0.502
S8 0.754 0.754 0.261
Tb1 0.002 0.002 0.994